The following is a DFT calculation (PBE-GGA) of a relaxed Pm4HgBi2 crystal.

For the magnetization, the calculation gives 0.00 μB/cell. The calculation puts the formation energy at -0.49 eV per atom.

Lattice parameters (Å, degrees): 6.461 6.787 10.495 90.00 105.19 90.00
Positions (direct):
Pm1 0.521 0.509 0.255
Pm2 0.057 0.750 0.854
Pm3 0.943 0.250 0.146
Pm4 0.521 0.991 0.255
Pm5 0.856 0.250 0.534
Pm6 0.479 0.009 0.745
Pm7 0.479 0.491 0.745
Pm8 0.144 0.750 0.466
Hg1 0.093 0.750 0.171
Hg2 0.907 0.250 0.829
Bi1 0.646 0.750 0.012
Bi2 0.354 0.250 0.988
Bi3 0.296 0.250 0.451
Bi4 0.704 0.750 0.549

***

The following is a DFT calculation (PBE-GGA) of a relaxed PmHgBi4 crystal.

For the magnetization, the calculation gives 0.00 μB/cell. The calculation puts the formation energy at -0.21 eV per atom.

Lattice parameters (Å, degrees): 5.900 6.502 6.503 61.50 63.02 63.02
Positions (direct):
Pm1 0.000 0.000 0.500
Hg1 0.000 0.500 0.000
Bi1 0.669 0.594 0.569
Bi2 0.669 0.070 0.093
Bi3 0.331 0.930 0.907
Bi4 0.331 0.406 0.431

***

The following is a DFT calculation (PBE-GGA) of a relaxed Pm6Hg5Bi crystal.

For the magnetization, the calculation gives 1.95 μB/cell. The calculation puts the formation energy at -0.52 eV per atom.

Lattice parameters (Å, degrees): 5.427 7.622 8.633 90.00 108.35 90.00
Each line ends with the local moment (μB).
Positions (direct):
Bi1 0.000 0.000 0.000  -0.02
Hg1 0.663 0.500 0.328  0.02
Hg2 0.325 0.000 0.647  0.01
Hg3 0.000 0.500 0.000  0.02
Hg4 0.675 0.000 0.353  0.01
Hg5 0.337 0.500 0.672  0.02
Pm1 0.832 0.744 0.663  0.16
Pm2 0.832 0.256 0.663  0.16
Pm3 0.500 0.251 0.000  0.17
Pm4 0.500 0.749 0.000  0.17
Pm5 0.168 0.744 0.337  0.16
Pm6 0.168 0.256 0.337  0.16

***

The following is a DFT calculation (PBE-GGA) of a relaxed Pm8HgBi2 crystal.

For the magnetization, the calculation gives 0.00 μB/cell. The calculation puts the formation energy at -0.33 eV per atom.

Lattice parameters (Å, degrees): 5.087 7.304 10.107 97.70 104.58 90.00
Positions (direct):
Pm1 0.407 0.503 0.813
Pm2 0.659 0.038 0.319
Pm3 0.785 0.648 0.569
Pm4 0.993 0.240 0.986
Pm5 0.215 0.352 0.431
Pm6 0.341 0.962 0.681
Pm7 0.593 0.497 0.187
Pm8 0.007 0.760 0.014
Hg1 0.500 0.000 0.000
Bi1 0.822 0.221 0.644
Bi2 0.178 0.779 0.356

***

The following is a DFT calculation (PBE-GGA) of a relaxed Pm4HgBi5 crystal.

For the magnetization, the calculation gives 0.00 μB/cell. The calculation puts the formation energy at -0.67 eV per atom.

Lattice parameters (Å, degrees): 4.513 8.733 8.733 82.10 75.03 75.03
Positions (direct):
Pm1 0.250 0.292 0.708
Pm2 0.997 0.253 0.253
Pm3 0.503 0.747 0.747
Pm4 0.250 0.708 0.292
Hg1 0.250 0.000 0.000
Bi1 0.585 0.342 0.988
Bi2 0.915 0.012 0.658
Bi3 0.750 0.500 0.500
Bi4 0.585 0.988 0.342
Bi5 0.915 0.658 0.012

***

The following is a DFT calculation (PBE-GGA) of a relaxed PmHgBi crystal.

For the magnetization, the calculation gives 0.00 μB/cell. The calculation puts the formation energy at -0.53 eV per atom.

Lattice parameters (Å, degrees): 4.412 4.865 4.865 120.00 90.00 90.00
Positions (direct):
Pm1 0.289 0.333 0.667
Bi1 0.705 0.667 0.333
Hg1 0.006 0.000 0.000

***

The following is a DFT calculation (PBE-GGA) of a relaxed Pm2Hg5Bi crystal.

For the magnetization, the calculation gives 0.00 μB/cell. The calculation puts the formation energy at -0.42 eV per atom.

Lattice parameters (Å, degrees): 4.567 6.785 13.564 90.00 90.00 90.00
Positions (direct):
Pm1 0.500 0.230 0.619
Pm2 0.500 0.770 0.381
Pm3 0.500 0.270 0.119
Pm4 0.500 0.730 0.881
Hg1 0.000 0.000 0.000
Hg2 0.000 0.500 0.500
Hg3 0.000 0.468 0.746
Hg4 0.000 0.532 0.254
Hg5 0.000 0.032 0.246
Hg6 0.000 0.968 0.754
Hg7 0.500 0.220 0.864
Hg8 0.500 0.780 0.136
Hg9 0.500 0.280 0.364
Hg10 0.500 0.720 0.636
Bi1 0.000 0.000 0.500
Bi2 0.000 0.500 0.000

***

The following is a DFT calculation (PBE-GGA) of a relaxed PmHg3Bi crystal.

For the magnetization, the calculation gives 0.00 μB/cell. The calculation puts the formation energy at -0.31 eV per atom.

Lattice parameters (Å, degrees): 4.481 4.705 14.324 80.42 81.00 90.00
Positions (direct):
Pm1 0.882 0.626 0.236
Pm2 0.118 0.374 0.764
Hg1 0.973 0.223 0.053
Hg2 0.027 0.777 0.947
Hg3 0.292 0.534 0.416
Hg4 0.708 0.466 0.584
Hg5 0.203 0.961 0.594
Hg6 0.797 0.039 0.406
Bi1 0.604 0.860 0.792
Bi2 0.396 0.140 0.208

***

The following is a DFT calculation (PBE-GGA) of a relaxed PmHgBi3 crystal.

For the magnetization, the calculation gives 0.00 μB/cell. The calculation puts the formation energy at -0.08 eV per atom.

Lattice parameters (Å, degrees): 6.446 9.096 8.074 124.28 90.00 90.00
Positions (direct):
Pm1 0.750 0.796 0.593
Pm2 0.250 0.204 0.407
Hg1 0.750 0.549 0.099
Hg2 0.250 0.451 0.901
Bi1 0.750 0.016 0.379
Bi2 0.750 0.362 0.379
Bi3 0.250 0.638 0.621
Bi4 0.250 0.984 0.621
Bi5 0.000 0.000 0.000
Bi6 0.500 0.000 0.000

***

The following is a DFT calculation (PBE-GGA) of a relaxed PmHg4Bi crystal.

For the magnetization, the calculation gives 0.00 μB/cell. The calculation puts the formation energy at -0.12 eV per atom.

Lattice parameters (Å, degrees): 6.100 6.100 6.100 60.00 60.00 60.00
Positions (direct):
Pm1 0.250 0.250 0.250
Bi1 0.000 0.000 0.000
Hg1 0.626 0.626 0.123
Hg2 0.626 0.123 0.626
Hg3 0.626 0.626 0.626
Hg4 0.123 0.626 0.626

***

The following is a DFT calculation (PBE-GGA) of a relaxed Pm7Hg2Bi2 crystal.

For the magnetization, the calculation gives 0.00 μB/cell. The calculation puts the formation energy at -0.20 eV per atom.

Lattice parameters (Å, degrees): 7.584 6.781 7.584 90.00 98.50 90.00
Positions (direct):
Pm1 0.000 0.258 0.500
Pm2 0.500 0.742 0.000
Pm3 0.000 0.742 0.500
Pm4 0.500 0.258 0.000
Pm5 0.000 0.000 0.000
Pm6 0.500 0.748 0.500
Pm7 0.500 0.252 0.500
Hg1 0.728 0.000 0.272
Hg2 0.272 0.000 0.728
Bi1 0.807 0.500 0.807
Bi2 0.193 0.500 0.193

***

The following is a DFT calculation (PBE-GGA) of a relaxed Pm3Hg2Bi crystal.

For the magnetization, the calculation gives 0.00 μB/cell. The calculation puts the formation energy at -0.57 eV per atom.

Lattice parameters (Å, degrees): 4.043 5.295 16.107 90.00 90.00 90.00
Positions (direct):
Pm1 0.500 0.500 0.667
Pm2 0.499 0.000 0.500
Pm3 0.500 0.500 0.333
Pm4 0.500 0.000 0.167
Pm5 0.501 0.500 0.000
Pm6 0.500 0.000 0.833
Hg1 0.000 0.000 0.678
Hg2 0.000 0.000 0.322
Hg3 0.000 0.500 0.178
Hg4 0.000 0.500 0.822
Bi1 0.000 0.500 0.500
Bi2 0.000 0.000 0.000